1.
Here is an optimized crystal structure of Tm7Zn2Cd2 from Alexandria via LeMat-Bulk. Energies are from GGA-PBE.

Output
E_form in eV/atom: 0.018
Electronic total energy in eV/atom: -3.2256
Total magnetization in μB/f.u.: 0.0

Cell: 7.4908 10.9538 7.4707 Å, 90.00 90.00 90.00°
Closest atoms and distances in Å follow each position.
Space group Cmmm (No. 65)
Symmetry-distinct sites (fractional):
Tm  0.0000  0.0000  0.0000  2 Zn 3.19
Tm  0.0000  0.5000  0.2422  2 Zn 2.92, 2 Cd 3.07
Tm  0.2500  0.2500  0.2773  2 Zn 2.83
Zn  0.0000  0.2910  0.0000  6 Tm 2.83-2.92
Cd  0.1812  0.0000  0.5000  1 Cd 2.71

=====

2.
Here is an optimized crystal structure of Tm4Zn2Cd from Alexandria via LeMat-Bulk. Energies are from GGA-PBE.

Output
E_form in eV/atom: -0.172
Electronic total energy in eV/atom: -3.2216
Total magnetization in μB/f.u.: 0.0

Cell: 5.0090 5.0090 24.0153 Å, 90.00 90.00 120.00°
Closest atoms and distances in Å follow each position.
Space group R-3m (No. 166, hexagonal axes)
Symmetry-distinct sites (fractional):
Tm  0.0000  0.0000  0.1154  4 Zn 2.97-3.14, 3 Cd 3.14
Tm  0.0000  0.0000  0.3687  4 Zn 2.94-3.15, 1 Cd 3.15
Zn  0.0000  0.0000  0.2462  8 Tm 2.94-3.15
Cd  0.0000  0.0000  0.5000  8 Tm 3.14-3.15, 6 Zn 3.47